# 1
Density functional theory data (GGA-PBE) for a relaxed HfTaZn2Cu crystal.

Final energy ... -25.08 eV per formula unit
Space group ... No. 123

Cell: 4.379 4.864 4.379 Å, 90.00 90.00 90.00°
Fractional coordinates of all 5 atoms:
Zn 0.000 0.000 0.500
Zn 0.500 0.000 0.000
Hf 0.000 0.500 0.000
Cu 0.000 0.000 0.000
Ta 0.500 0.500 0.500

---

# 2
Density functional theory data (GGA-PBE) for a relaxed HfZrTaCu crystal.

Final energy ... -34.05 eV per formula unit
Space group ... No. 216

Cell: 4.726 4.726 4.726 Å, 60.00 60.00 60.00°
Fractional coordinates of all 4 atoms:
Hf 0.000 0.000 0.000
Cu 0.250 0.250 0.250
Zr 0.500 0.500 0.500
Ta 0.750 0.750 0.750

---

# 3
Density functional theory data (GGA-PBE) for a relaxed TbHf2Cu6 crystal.

Final energy ... -50.38 eV per formula unit
Space group ... No. 191

Cell: 3.055 7.399 7.399 Å, 120.00 90.00 90.00°
Fractional coordinates of all 9 atoms:
Tb 0.000 0.000 0.000
Hf 0.000 0.333 0.667
Hf 0.000 0.667 0.333
Cu 0.500 0.338 0.338
Cu 0.500 0.662 0.662
Cu 0.500 0.000 0.662
Cu 0.500 0.662 0.000
Cu 0.500 0.338 0.000
Cu 0.500 0.000 0.338

---

# 4
Density functional theory data (GGA-PBE) for a relaxed TbHf2Cu9 crystal.

Final energy ... -63.10 eV per formula unit
Space group ... No. 166

Cell: 5.062 5.062 8.610 Å, 72.91 72.91 60.00°
Fractional coordinates of all 12 atoms:
Tb 0.000 0.000 0.000
Hf 0.850 0.850 0.449
Hf 0.150 0.150 0.551
Cu 0.667 0.667 0.998
Cu 0.333 0.333 0.002
Cu 0.500 0.500 0.500
Cu 0.414 0.414 0.254
Cu 0.917 0.414 0.254
Cu 0.414 0.917 0.254
Cu 0.586 0.586 0.746
Cu 0.586 0.083 0.746
Cu 0.083 0.586 0.746

---

# 5
Density functional theory data (GGA-PBE) for a relaxed Tb2HfCu crystal.

Final energy ... -21.68 eV per formula unit
Space group ... No. 166

Cell: 3.214 3.214 11.156 Å, 81.72 81.72 60.00°
Fractional coordinates of all 4 atoms:
Tb 0.097 0.097 0.708
Tb 0.903 0.903 0.292
Hf 0.000 0.000 0.000
Cu 0.500 0.500 0.500

---

# 6
Density functional theory data (GGA-PBE) for a relaxed Tb2HfCu crystal.

Final energy ... -23.44 eV per formula unit
Space group ... No. 123

Cell: 3.386 3.386 8.303 Å, 90.00 90.00 90.00°
Fractional coordinates of all 4 atoms:
Tb 0.000 0.000 0.779
Tb 0.000 0.000 0.221
Hf 0.500 0.500 0.500
Cu 0.500 0.500 0.000

---

V (Å³/cell)
93.3, 74.6, 144.8, 179.7, 98.4, 95.2